A geometry-optimized TlIn2S structure. Source: the Alexandria database, functional GGA-PBE.

## Properties
* space-group type: R3m (160)
* energy relative to the elements, uncorrected: -0.795 eV per formula unit

Structure (extended XYZ):
```
12
Lattice="3.7432 0.0000 0.0000 -1.8716 3.2417 0.0000 0.0000 0.0000 27.4018" Properties=species:S:1:pos:R:3 pbc="T T T"
Tl 0.0000 0.0000 0.0000
Tl 0.0000 2.1612 18.2679
Tl 1.8716 1.0806 9.1339
In 0.0000 0.0000 6.3292
In 0.0000 0.0000 11.8640
In 0.0000 2.1612 2.7301
In 0.0000 2.1612 24.5970
In 1.8716 1.0806 15.4631
In 1.8716 1.0806 20.9980
S 0.0000 0.0000 22.7678
S 0.0000 2.1612 13.6338
S 1.8716 1.0806 4.4999
```

---

A geometry-optimized MgCu2Ir structure. Source: the Alexandria database, functional GGA-PBE.

## Properties
* ΔE_f: -0.0752 eV per atom
* space-group type: Cm (8)

Structure (extended XYZ):
```
8
Lattice="9.3285 0.0000 0.0000 0.0000 3.1504 0.0000 -1.8809 0.0000 3.7524" Properties=species:S:1:pos:R:3 pbc="T T T"
Mg 0.0000 0.0000 0.0000
Mg 4.6643 1.5752 0.0000
Cu 1.8812 1.5752 0.9578
Cu 3.6132 0.0000 1.8170
Cu 6.5455 0.0000 0.9578
Cu 8.2775 1.5752 1.8170
Ir 0.8248 0.0000 2.7749
Ir 5.4891 1.5752 2.7749
```